Entry 1:
Compound: CrBiP
Source: Alexandria via LeMat-Bulk
Functional: PBE
Structure: optimized geometry

Lattice parameters (Å, degrees): 4.253 4.253 5.010 103.86 103.86 46.53
Positions (direct):
Cr 0.000 0.000 0.000
Bi 0.620 0.620 0.590
P 0.315 0.315 0.080

Summary:
The value obtained for the formation energy is 0.15 eV/atom. The symmetry is Cm, No. 8. The raw total energy comes out at -18.5 eV for the cell shown. For the distance to the lowest polymorph of the same formula, the calculation gives 0.18 eV/f.u.

Entry 2:
Compound: CuNi14Ru
Source: Alexandria via LeMat-Bulk
Functional: PBE
Structure: optimized geometry

Lattice parameters (Å, degrees): 8.205 5.018 5.018 60.16 90.00 90.00
Positions (direct):
Cu 0.000 0.000 0.000
Ni 0.000 0.001 0.497
Ni 0.000 0.497 0.001
Ni 0.252 0.332 0.332
Ni 0.252 0.832 0.832
Ni 0.254 0.333 0.833
Ni 0.254 0.833 0.333
Ni 0.500 0.166 0.166
Ni 0.500 0.166 0.665
Ni 0.500 0.665 0.166
Ni 0.500 0.666 0.666
Ni 0.746 0.333 0.833
Ni 0.746 0.833 0.333
Ni 0.748 0.332 0.332
Ni 0.748 0.832 0.832
Ru 0.000 0.500 0.500

Summary:
The value obtained for the formation energy is 0.06 eV/atom. The symmetry is Amm2, No. 38. The raw total energy comes out at -93.4 eV for the cell shown.

Entry 3:
Compound: BaPF3
Source: Alexandria via LeMat-Bulk
Functional: PBE
Structure: optimized geometry

Lattice parameters (Å, degrees): 4.517 4.517 4.517 90.00 90.00 90.00
Positions (direct):
Ba 0.000 0.000 0.000
P 0.500 0.500 0.500
F 0.000 0.500 0.500
F 0.500 0.000 0.500
F 0.500 0.500 0.000

Summary:
The symmetry is Pm-3m, No. 221. The raw total energy comes out at -22.3 eV for the cell shown. The value obtained for the uncorrected formation energy is -1873 meV/atom. For the distance to the lowest polymorph of the same formula, the calculation gives 0.00 eV/f.u.

Entry 4:
Compound: Tb3Ce2SmEr6
Source: Alexandria via LeMat-Bulk
Functional: PBE
Structure: optimized geometry

Lattice parameters (Å, degrees): 6.117 6.117 11.662 95.02 95.02 119.99
Positions (direct):
Tb 0.000 0.000 0.000
Tb 0.334 0.666 0.000
Tb 0.666 0.334 0.000
Ce 0.167 0.833 0.500
Ce 0.833 0.167 0.500
Sm 0.500 0.500 0.500
Er 0.081 0.416 0.251
Er 0.248 0.248 0.749
Er 0.416 0.081 0.251
Er 0.584 0.919 0.749
Er 0.752 0.752 0.251
Er 0.919 0.584 0.749

Summary:
The value obtained for the formation energy is 0.05 eV/atom. The symmetry is C2/m, No. 12. The raw total energy comes out at -57.3 eV for the cell shown.

Entry 5:
Compound: LiPrLuFe
Source: Alexandria via LeMat-Bulk
Functional: PBE
Structure: optimized geometry

Lattice parameters (Å, degrees): 4.930 4.930 4.930 60.00 60.00 60.00
Positions (direct):
Li 0.000 0.000 0.000
Pr 0.750 0.750 0.750
Lu 0.250 0.250 0.250
Fe 0.500 0.500 0.500

Summary:
The value obtained for the formation energy is 0.13 eV/atom. The symmetry is F-43m, No. 216. The raw total energy comes out at -19.2 eV for the cell shown.

Entry 6:
Compound: Sr2SbSe3
Source: Alexandria via LeMat-Bulk
Functional: PBE
Structure: optimized geometry

Lattice parameters (Å, degrees): 7.514 7.514 8.842 107.10 107.10 50.27
Positions (direct):
Sr 0.165 0.165 0.082
Sr 0.165 0.165 0.582
Sr 0.835 0.835 0.418
Sr 0.835 0.835 0.918
Sb 0.500 0.500 0.250
Sb 0.500 0.500 0.750
Se 0.001 0.999 0.750
Se 0.343 0.343 0.421
Se 0.343 0.343 0.921
Se 0.657 0.657 0.079
Se 0.657 0.657 0.579
Se 0.999 0.001 0.250

Summary:
The symmetry is C2/c, No. 15. The raw total energy comes out at -51.6 eV for the cell shown. The value obtained for the uncorrected formation energy is -1311 meV/atom.

Entry 7:
Compound: Np2U3NbN6
Source: Alexandria via LeMat-Bulk
Functional: PBE
Structure: optimized geometry

Lattice parameters (Å, degrees): 5.883 5.883 5.840 99.74 99.74 119.92
Positions (direct):
Np 0.166 0.834 0.000
Np 0.834 0.166 0.000
U 0.000 0.000 0.500
U 0.332 0.668 0.500
U 0.668 0.332 0.500
Nb 0.500 0.500 0.000
N 0.101 0.420 0.757
N 0.266 0.266 0.249
N 0.420 0.101 0.757
N 0.580 0.899 0.243
N 0.734 0.734 0.751
N 0.899 0.580 0.243

Summary:
The symmetry is C2/m, No. 12. The raw total energy comes out at -134.7 eV for the cell shown. The value obtained for the uncorrected formation energy is -1246 meV/atom.

Entry 8:
Compound: MgCu3Se
Source: Alexandria via LeMat-Bulk
Functional: PBE
Structure: optimized geometry

Lattice parameters (Å, degrees): 7.136 7.136 7.136 151.84 151.84 40.25
Positions (direct):
Mg 0.000 0.000 0.000
Cu 0.202 0.202 0.000
Cu 0.340 0.840 0.500
Cu 0.840 0.340 0.500
Se 0.612 0.612 0.000

Summary:
The symmetry is I4mm, No. 107. The raw total energy comes out at -17.5 eV for the cell shown. The value obtained for the uncorrected formation energy is -27 meV/atom. For the distance to the lowest polymorph of the same formula, the calculation gives 0.67 eV/f.u.

Entry 9:
Compound: LaRePt2S
Source: Alexandria via LeMat-Bulk
Functional: PBE
Structure: optimized geometry

Lattice parameters (Å, degrees): 4.523 4.523 5.286 90.00 90.00 90.00
Positions (direct):
La 0.000 0.000 0.000
Re 0.500 0.500 0.000
Pt 0.000 0.500 0.500
Pt 0.500 0.000 0.500
S 0.000 0.000 0.500

Summary:
The symmetry is P4/mmm, No. 123. The raw total energy comes out at -31.0 eV for the cell shown. The value obtained for the uncorrected formation energy is 513 meV/atom.

Entry 10:
Compound: Al4CuIr2
Source: Alexandria via LeMat-Bulk
Functional: PBE
Structure: optimized geometry

Lattice parameters (Å, degrees): 7.153 7.153 7.153 34.51 34.51 34.51
Positions (direct):
Al 0.113 0.113 0.113
Al 0.369 0.369 0.369
Al 0.631 0.631 0.631
Al 0.887 0.887 0.887
Cu 0.500 0.500 0.500
Ir 0.244 0.244 0.244
Ir 0.756 0.756 0.756

Summary:
The value obtained for the formation energy is -0.70 eV/atom. The symmetry is R-3m, No. 166. The raw total energy comes out at -41.7 eV for the cell shown.

Entry 11:
Compound: Tm2PaRu4
Source: Alexandria via LeMat-Bulk
Functional: PBE
Structure: optimized geometry

Lattice parameters (Å, degrees): 5.654 5.654 5.654 108.73 108.73 110.96
Positions (direct):
Tm 0.000 0.500 0.500
Tm 0.500 0.000 0.500
Pa 0.000 0.000 0.000
Ru 0.000 0.000 0.500
Ru 0.000 0.500 0.000
Ru 0.500 0.000 0.000
Ru 0.500 0.500 0.500

Summary:
The value obtained for the formation energy is -0.01 eV/atom. The symmetry is I4/mmm, No. 139. The raw total energy comes out at -55.6 eV for the cell shown.

Entry 12:
Compound: Zn2CdGa
Source: Alexandria via LeMat-Bulk
Functional: PBE
Structure: optimized geometry

Lattice parameters (Å, degrees): 8.790 8.790 8.790 20.51 20.51 20.51
Positions (direct):
Zn 0.245 0.245 0.245
Zn 0.755 0.755 0.755
Cd 0.000 0.000 0.000
Ga 0.500 0.500 0.500

Summary:
The value obtained for the formation energy is 0.07 eV/atom. The symmetry is R-3m, No. 166. The raw total energy comes out at -6.2 eV for the cell shown. For the distance to the lowest polymorph of the same formula, the calculation gives 0.01 eV/f.u.

Which of these has the highest raw total energy?
Zn2CdGa

Which value of raw total energy does entry 11 give?
-55.6 eV for the cell shown